# 1
Below is ScTiMn2Ru after structural relaxation, with properties calculated at the PBE-GGA level.

The structure in POSCAR format:
```
ScTiMn2Ru
1.0
4.404 0.000 0.000
0.000 4.583 0.000
0.000 0.000 4.404
Ru Mn Ti Sc
1 2 1 1
Direct
0.000 0.500 0.000
0.000 0.000 0.500
0.500 0.000 0.000
0.000 0.000 0.000
0.500 0.500 0.500
```

Output
The calculation puts the density at 5.67 g cm⁻³. As for the symmetry: P4/mmm (123).

# 2
Below is TmScMnRu after structural relaxation, with properties calculated at the PBE-GGA level.

The structure in POSCAR format:
```
TmScMnRu
1.0
-0.339 -1.564 -4.438
-2.260 -4.040 -0.911
-4.165 0.074 -2.215
Sc Tm Ru Mn
1 1 1 1
Direct
0.750 0.750 0.750
0.250 0.250 0.250
0.500 0.500 0.500
0.000 0.000 0.000
```

Output
The calculation puts the density at 8.27 g cm⁻³. As for the symmetry: F-43m (216).

# 3
Below is ScUMnRu after structural relaxation, with properties calculated at the PBE-GGA level.

The structure in POSCAR format:
```
ScUMnRu
1.0
-3.409 -1.929 2.459
-2.715 -3.207 -1.931
0.326 -4.415 1.337
Ru Sc U Mn
1 1 1 1
Direct
0.000 0.000 0.000
0.250 0.250 0.250
0.750 0.750 0.750
0.500 0.500 0.500
```

Output
The calculation puts the density at 10.43 g cm⁻³. As for the symmetry: F-43m (216).

| no. | ΔH_f (0 K) (eV/atom) |
| --- | --- |
| 1 | 0.5602 |
| 2 | -0.1791 |
| 3 | -0.0934 |